Entry 1:
Material: TmBBr
Method: DFT, PBE
State: optimized geometry

Cell: 3.364 5.723 8.033 Å, 69.21 89.91 90.00°
Space group P-1 (No. 2)
One atom of each set of equivalent atoms:
Tm1 0.249 0.357 0.284 (multiplicity 2)
B1 0.250 0.522 0.956 (multiplicity 2)
Br1 0.252 0.809 0.382 (multiplicity 2)

Computed properties:
Total energy: -14.968 eV/f.u.
Formation energy from raw total energies: -715 meV/atom

Entry 2:
Material: Tm7BBr12
Method: DFT, PBE
State: optimized geometry

Cell: 14.3804 14.3804 9.6513 Å, 90.00 90.00 120.00°
Space group R-3 (No. 148, hexagonal axes)
One atom of each set of equivalent atoms:
Tm1 0.0000 0.0000 0.0000 (multiplicity 3)
Tm2 0.0440 0.1587 0.3528 (multiplicity 18)
B1 0.0000 0.0000 0.5000 (multiplicity 3)
Br1 0.0232 0.5863 0.1629 (multiplicity 18)
Br2 0.0510 0.1820 0.8382 (multiplicity 18)

Computed properties:
Total energy: -88.861 eV/f.u.
Formation energy from raw total energies: -1540 meV/atom